No. 1
Below is a relaxed FePtRh crystal, with properties calculated at the PBE level.

Values from the calculation:
* energy relative to the lowest polymorph listed for this composition: 17.2 meV per atom
* uncorrected energy: -44.3 eV per cell
* formation energy: -0.10 eV/atom

Cell: 4.6987 4.6987 4.7019 Å, 99.85 99.85 119.52°
Fractional positions:
Fe  0.0860  0.9140  0.7500
Fe  0.9140  0.0860  0.2500
Pt  0.4173  0.5827  0.7500
Pt  0.5827  0.4173  0.2500
Rh  0.2425  0.7575  0.2500
Rh  0.7575  0.2425  0.7500

---

No. 2
Below is a relaxed Na3Ac3MoS8 crystal, with properties calculated at the PBE level.

Values from the calculation:
* uncorrected energy: -82.2 eV per cell
* raw formation energy: -1.472 eV/atom

Cell: 8.2915 8.2915 8.2915 Å, 60.99 60.99 60.99°
Fractional positions:
Na  0.0000  0.5000  0.5000
Na  0.5000  0.0000  0.5000
Na  0.5000  0.5000  0.0000
Ac  0.0000  0.0000  0.5000
Ac  0.0000  0.5000  0.0000
Ac  0.5000  0.0000  0.0000
Mo  0.5000  0.5000  0.5000
S  0.2492  0.2492  0.2492
S  0.2854  0.2854  0.7144
S  0.2854  0.7144  0.2854
S  0.2856  0.7146  0.7146
S  0.7144  0.2854  0.2854
S  0.7146  0.2856  0.7146
S  0.7146  0.7146  0.2856
S  0.7508  0.7508  0.7508

---

No. 3
Below is a relaxed CrH3Ru crystal, with properties calculated at the PBE level.

Values from the calculation:
* uncorrected energy: -26.7 eV per cell

Cell: 3.3496 3.3496 3.3496 Å, 90.00 90.00 90.00°
Fractional positions:
Cr  0.0000  0.0000  0.0000
H  0.0000  0.5000  0.5000
H  0.5000  0.0000  0.5000
H  0.5000  0.5000  0.0000
Ru  0.5000  0.5000  0.5000

---

Q: Which formula does entry 3 have?
A: CrH3Ru

---

Q: The lowest uncorrected energy belongs to which entry?
A: Na3Ac3MoS8